{"formula": "LiMg2Ag", "functional": "PBE", "state": "relaxed", "lattice_angstrom": [[3.4077, 0.0000, 0.0000], [0.0000, 4.6629, 0.0000], [0.0000, 0.0000, 4.6628]], "species": ["Li", "Mg", "Mg", "Ag"], "frac_coords": [[0.0000, 0.0000, 0.0000], [0.5000, 0.0000, 0.4993], [0.5000, 0.5000, 0.9962], [0.0000, 0.5000, 0.4957]], "sg": "Pmm2 (25)", "relative_energy_ev_per_atom": 0.0389, "final_energy_ev_per_atom": -2.135, "density_g_cm3": 3.66}